No. 1
# CaSm2Hg2 | Alexandria via LeMat-Bulk | PBE | relaxed
# DOS at the Fermi energy   17.42 states/eV per cell
# Density   8.52 g/cm³
# Raw total energy   -2.809 eV/atom
# Spin magnetization   0.000 μB per atom
data_CaSm2Hg2
_chemical_formula_sum 'Ca4 Sm8 Hg8'
_space_group_name_H-M_alt 'C m c m'
_space_group_IT_number 63
_space_group_name_Hall '-C 2c 2'
_cell_length_a 3.786
_cell_length_b 28.110
_cell_length_c 5.436
_cell_angle_alpha 90.00
_cell_angle_beta 90.00
_cell_angle_gamma 90.00
loop_
_atom_site_label
_atom_site_fract_x
_atom_site_fract_y
_atom_site_fract_z
Ca1 0.000 0.143 0.250
Sm1 0.000 0.048 0.750
Sm2 0.000 0.233 0.750
Hg1 0.000 0.357 0.250
Hg2 0.000 0.454 0.750



No. 2
# CaSm3Hg6 | Alexandria via LeMat-Bulk | PBE | relaxed
# DOS at the Fermi energy   13.81 states/eV per cell
# Density   10.64 g/cm³
# Raw total energy   -2.238 eV/atom
# Spin magnetization   0.000 μB per atom
data_CaSm3Hg6
_chemical_formula_sum 'Ca2 Sm6 Hg12'
_space_group_name_H-M_alt 'P 1 21/m 1'
_space_group_IT_number 11
_cell_length_a 9.350
_cell_length_b 5.214
_cell_length_c 11.346
_cell_angle_alpha 90.00
_cell_angle_beta 106.98
_cell_angle_gamma 90.00
loop_
_space_group_symop_operation_xyz
'x,y,z'
'-x,-y,-z'
'-x,y+1/2,-z'
'x,-y+1/2,z'
loop_
_atom_site_label
_atom_site_fract_x
_atom_site_fract_y
_atom_site_fract_z
Ca1 0.058 0.250 0.397
Sm1 0.226 0.250 0.013
Sm2 0.355 0.750 0.794
Sm3 0.484 0.250 0.617
Hg1 0.065 0.750 0.890
Hg2 0.142 0.750 0.194
Hg3 0.162 0.250 0.698
Hg4 0.251 0.750 0.506
Hg5 0.341 0.250 0.304
Hg6 0.463 0.750 0.085



No. 3
# CaSm2Hg5 | Alexandria via LeMat-Bulk | PBE | relaxed
# DOS at the Fermi energy   11.82 states/eV per cell
# Density   10.70 g/cm³
# Raw total energy   -2.038 eV/atom
# Spin magnetization   0.007 μB per atom
data_CaSm2Hg5
_chemical_formula_sum 'Ca2 Sm4 Hg10'
_space_group_name_H-M_alt 'I 4/m m m'
_space_group_IT_number 139
_space_group_name_Hall '-I 4 2'
_cell_length_a 5.194
_cell_length_b 5.194
_cell_length_c 15.458
_cell_angle_alpha 90.00
_cell_angle_beta 90.00
_cell_angle_gamma 90.00
loop_
_atom_site_label
_atom_site_fract_x
_atom_site_fract_y
_atom_site_fract_z
Ca1 0.000 0.000 0.000
Sm1 0.000 0.000 0.264
Hg1 0.000 0.000 0.500
Hg2 0.000 0.500 0.124



> Among the records above, which one has the highest DOS at the Fermi energy?

CaSm2Hg2